CoIr2Rh: relaxed, PBE.

Cell lengths 2.700, 3.769, 5.356 Å; angles 90.00, 90.00, 90.00 degrees
Fractional positions:
Co (0.000, 0.000, 0.000)
Ir (0.000, 0.000, 0.495)
Ir (0.500, 0.500, 0.242)
Rh (0.500, 0.500, 0.756)

As for the total magnetization: 1.56 μB/f.u. The calculation puts the energy relative to the lowest polymorph listed for this composition at 0.01 eV per formula unit. As for the total energy: -8.032 eV per atom. Its calculated formation energy is 0.013 eV per atom.